(1)
K3CaPd2O6 after structural relaxation, computed with PBE.

Summary:
- space group = C2/m
- DFT total energy (Ry/atom) = -0.368
- total moment (μB per cell) = 1.014

The structure in POSCAR format:
```
K3CaPd2O6
1.0
2.918 -4.926 0.000
2.918 4.926 0.000
-1.982 0.000 6.021
K Ca Pd O
3 1 2 6
Cartesian
0.000 0.000 0.000 K
2.918 1.627 0.000 K
2.918 -1.627 0.000 K
1.927 0.000 3.010 Ca
1.927 3.297 3.010 Pd
1.927 -3.297 3.010 Pd
0.930 1.797 1.911 O
-0.172 0.000 4.105 O
0.930 -1.797 1.911 O
2.924 1.797 4.110 O
4.026 0.000 1.916 O
2.924 -1.797 4.110 O
```

(2)
KCaPmO3 after structural relaxation, computed with PBE.

Summary:
- space group = P2_1/m
- DFT total energy (Ry/atom) = -0.464
- total moment (μB per cell) = 0.042

The structure in POSCAR format:
```
KCaPmO3
1.0
7.442 0.000 0.000
0.000 3.563 0.000
-0.131 0.000 10.080
K Ca Pm O
2 2 2 6
Cartesian
0.955 0.891 2.186 K
6.356 2.672 7.894 K
1.120 0.891 5.654 Ca
6.191 2.672 4.427 Ca
2.819 2.672 8.780 Pm
4.493 0.891 1.300 Pm
1.027 2.672 4.349 O
1.645 0.891 7.909 O
2.862 2.672 0.920 O
4.449 0.891 9.160 O
5.666 2.672 2.171 O
6.284 0.891 5.731 O
```